Computed, not measured: a relaxed structure of MnPBrCl2 at the PBE-GGA level of DFT.

M_tot = 4.66 μB/cell
energy above the lowest structure with this stoichiometry = 4.59 eV per formula unit
total DFT energy (no corrections) = -3.12 eV/atom
E_form (uncorrected) = 0.87 eV per atom

```
MnPBrCl2
1.0
5.059 0.000 0.000
0.000 5.059 0.000
0.000 0.000 5.215
Mn P Br Cl
1 1 1 2
Direct
0.000 0.000 0.000 Mn
0.500 0.500 0.000 P
0.500 0.500 0.500 Br
0.000 0.500 0.500 Cl
0.500 0.000 0.500 Cl
```